Record 1
The following is a DFT calculation (PBE) of an optimized crystal structure of Y2ZnCu.

Computed properties:
DFT total energy (eV per atom): -4.696
Energy of formation (eV/f.u.): -0.49
Space group: No. 99
V (Å³ per cell): 90.4
Density of states at the Fermi level (states/eV/cell): 3.353

Structure (POSCAR):
```
Y2ZnCu
1.0
3.548 0.015 0.000
-0.014 3.548 0.000
0.000 0.000 7.180
Cu Y Zn
1 2 1
direct
0.500 0.500 0.713
0.000 0.000 0.947
0.500 0.500 0.301
0.000 0.000 0.539
```

Record 2
The following is a DFT calculation (PBE) of an optimized crystal structure of BeGe2Rh2.

Computed properties:
DFT total energy (eV per atom): -5.785
Energy of formation (eV/f.u.): -1.26
Space group: No. 127
V (Å³ per cell): 143.6
Density of states at the Fermi level (states/eV/cell): 2.081

Structure (POSCAR):
```
BeGe2Rh2
1.0
6.253 0.000 0.000
0.000 6.253 0.000
0.000 0.000 3.673
Rh Ge Be
4 4 2
direct
0.161 0.339 0.000
0.339 0.839 0.000
0.661 0.161 0.000
0.839 0.661 0.000
0.350 0.150 0.500
0.650 0.850 0.500
0.850 0.350 0.500
0.150 0.650 0.500
0.500 0.500 0.000
0.000 0.000 0.000
```